[1]
A relaxed structure of SmI3O9, computed with PBE-GGA.

a b c (Å): 7.349 8.736 13.678
angles (deg): 90.00 99.40 90.00
Atoms (fractional coordinates):
Sm: 0.170 0.236 0.143
Sm: 0.170 0.264 0.643
Sm: 0.830 0.736 0.357
Sm: 0.830 0.764 0.857
I: 0.172 0.696 0.111
I: 0.172 0.804 0.611
I: 0.259 0.033 0.886
I: 0.259 0.467 0.386
I: 0.332 0.555 0.854
I: 0.332 0.945 0.354
I: 0.668 0.055 0.646
I: 0.668 0.445 0.146
I: 0.741 0.533 0.614
I: 0.741 0.967 0.114
I: 0.828 0.196 0.389
I: 0.828 0.304 0.889
O: 0.017 0.515 0.384
O: 0.017 0.985 0.884
O: 0.021 0.169 0.489
O: 0.021 0.331 0.989
O: 0.153 0.517 0.180
O: 0.153 0.703 0.824
O: 0.153 0.797 0.324
O: 0.153 0.983 0.680
O: 0.223 0.219 0.823
O: 0.223 0.281 0.323
O: 0.316 0.087 0.016
O: 0.316 0.413 0.516
O: 0.337 0.021 0.229
O: 0.337 0.479 0.729
O: 0.367 0.652 0.048
O: 0.367 0.848 0.548
O: 0.472 0.183 0.642
O: 0.472 0.317 0.142
O: 0.528 0.683 0.858
O: 0.528 0.817 0.358
O: 0.633 0.152 0.452
O: 0.633 0.348 0.952
O: 0.663 0.521 0.271
O: 0.663 0.979 0.771
O: 0.684 0.587 0.484
O: 0.684 0.913 0.984
O: 0.777 0.719 0.677
O: 0.777 0.781 0.177
O: 0.847 0.017 0.320
O: 0.847 0.203 0.676
O: 0.847 0.297 0.176
O: 0.847 0.483 0.820
O: 0.979 0.669 0.011
O: 0.979 0.831 0.511
O: 0.983 0.015 0.116
O: 0.983 0.485 0.616

[2]
A relaxed structure of Sm4IO10, computed with PBE-GGA.

a b c (Å): 6.662 6.662 6.662
angles (deg): 99.99 99.99 130.76
Atoms (fractional coordinates):
Sm: 0.098 0.305 0.403
Sm: 0.305 0.902 0.207
Sm: 0.695 0.098 0.793
Sm: 0.902 0.695 0.597
I: 0.500 0.500 0.000
O: 0.098 0.179 0.723
O: 0.179 0.456 0.081
O: 0.250 0.750 0.500
O: 0.375 0.098 0.919
O: 0.456 0.375 0.277
O: 0.544 0.625 0.723
O: 0.625 0.902 0.081
O: 0.750 0.250 0.500
O: 0.821 0.544 0.919
O: 0.902 0.821 0.277

[3]
A relaxed structure of SrSmIO6, computed with PBE-GGA.

a b c (Å): 5.765 5.765 10.081
angles (deg): 90.00 90.00 120.00
Atoms (fractional coordinates):
Sr: 0.000 0.000 0.000
Sr: 0.000 0.000 0.500
Sm: 0.333 0.667 0.250
Sm: 0.667 0.333 0.750
I: 0.333 0.667 0.750
I: 0.667 0.333 0.250
O: 0.056 0.398 0.643
O: 0.056 0.658 0.857
O: 0.342 0.398 0.857
O: 0.342 0.944 0.643
O: 0.398 0.056 0.143
O: 0.398 0.342 0.357
O: 0.602 0.658 0.643
O: 0.602 0.944 0.857
O: 0.658 0.056 0.357
O: 0.658 0.602 0.143
O: 0.944 0.342 0.143
O: 0.944 0.602 0.357

[4]
A relaxed structure of SrSm2IO8, computed with PBE-GGA.

a b c (Å): 4.811 4.974 7.470
angles (deg): 91.98 91.11 92.56
Atoms (fractional coordinates):
Sr: 0.000 0.000 0.000
Sm: 0.473 0.474 0.735
Sm: 0.527 0.526 0.265
I: 0.000 0.000 0.500
O: 0.106 0.754 0.310
O: 0.168 0.819 0.689
O: 0.321 0.229 0.473
O: 0.472 0.259 0.003
O: 0.528 0.741 0.997
O: 0.679 0.771 0.527
O: 0.832 0.181 0.311
O: 0.894 0.246 0.690

Number 1: N(E_F) 0.0000 states/eV/atom, formation energy (no corrections) -0.98 eV/atom. Number 2: N(E_F) 0.8058 states/eV/atom, formation energy (no corrections) -2.21 eV/atom. Number 3: N(E_F) 0.0000 states/eV/atom, formation energy (no corrections) -1.87 eV/atom. Number 4: N(E_F) 0.0790 states/eV/atom, formation energy (no corrections) -1.99 eV/atom.